Record 1
Density functional theory data (PBE-GGA) for a geometry-optimized Ce2GaAs3Pd4 structure.

Results
Energy in eV per atom: -5.8187
Formation enthalpy at 0 K in eV per atom: -0.857

a b c (Å): 4.266 4.266 10.572
angles (deg): 90.00 90.00 90.00
Fractional positions:
Ce1 0.500 0.000 0.242
Ce2 0.000 0.500 0.758
Ga1 0.500 0.500 0.500
As1 0.000 0.000 0.500
As2 0.500 0.000 0.863
As3 0.000 0.500 0.137
Pd1 0.500 0.500 0.000
Pd2 0.000 0.000 0.000
Pd3 0.500 0.000 0.632
Pd4 0.000 0.500 0.368

Record 2
Density functional theory data (PBE-GGA) for a geometry-optimized NaNiSn3 structure.

Results
Energy in eV per atom: -2.6960
Formation enthalpy at 0 K in eV per atom: 1.126
ΔE to the lowest computed polymorph in eV/f.u.: 6.426

a b c (Å): 5.288 5.288 5.288
angles (deg): 90.00 90.00 90.00
Fractional positions:
Ni1 0.500 0.500 0.500
Sn1 0.000 0.500 0.000
Sn2 0.000 0.000 0.500
Sn3 0.500 0.000 0.000
Na1 0.000 0.000 0.000

Record 3
Density functional theory data (PBE-GGA) for a geometry-optimized Hg3SbI2 structure.

Results
Energy relative to the elements, uncorrected in meV per atom: -69
Energy in eV per atom: -1.4237
ΔE to the lowest computed polymorph in eV/f.u.: 0.000

a b c (Å): 7.506 8.539 7.843
angles (deg): 105.71 118.59 90.00
Fractional positions:
Hg1 0.339 0.250 0.000
Hg2 0.661 0.750 0.000
Hg3 0.158 0.078 0.311
Hg4 0.847 0.422 0.689
Hg5 0.153 0.578 0.311
Hg6 0.842 0.922 0.689
Sb1 0.034 0.750 0.000
Sb2 0.966 0.250 0.000
I1 0.661 0.581 0.324
I2 0.663 0.081 0.324
I3 0.337 0.919 0.676
I4 0.339 0.419 0.676

Record 4
Density functional theory data (PBE-GGA) for a geometry-optimized K2PaMnS5 structure.

Results
Energy relative to the elements, uncorrected in meV per atom: -1202
Energy in eV per atom: -5.8126

a b c (Å): 4.105 9.600 13.482
angles (deg): 90.00 90.00 102.34
Fractional positions:
K1 0.878 0.756 0.838
K2 0.113 0.226 0.681
K3 0.122 0.244 0.338
K4 0.887 0.774 0.181
Pa1 0.794 0.589 0.529
Pa2 0.206 0.411 0.029
Mn1 0.570 0.140 0.920
Mn2 0.430 0.860 0.420
S1 0.338 0.675 0.014
S2 0.695 0.390 0.896
S3 0.505 0.010 0.790
S4 0.302 0.604 0.655
S5 0.941 0.881 0.499
S6 0.662 0.325 0.514
S7 0.305 0.610 0.396
S8 0.495 0.990 0.290
S9 0.698 0.396 0.155
S10 0.059 0.119 0.999

Record 5
Density functional theory data (PBE-GGA) for a geometry-optimized LuPaReOs structure.

Results
Energy in eV per atom: -9.5921
Formation enthalpy at 0 K in eV per atom: -0.168

a b c (Å): 4.825 4.825 4.825
angles (deg): 60.00 60.00 60.00
Fractional positions:
Re1 0.000 0.000 0.000
Pa1 0.750 0.750 0.750
Os1 0.500 0.500 0.500
Lu1 0.250 0.250 0.250

Record 6
Density functional theory data (PBE-GGA) for a geometry-optimized Bi2Te2Se structure.

Results
Energy relative to the elements, uncorrected in meV per atom: 179
Energy in eV per atom: -3.3267
ΔE to the lowest computed polymorph in eV/f.u.: 2.430

a b c (Å): 8.485 8.485 4.224
angles (deg): 90.00 90.00 90.00
Fractional positions:
Te1 0.336 0.836 0.000
Te2 0.836 0.664 0.000
Te3 0.664 0.164 0.000
Te4 0.164 0.336 0.000
Bi1 0.141 0.641 0.500
Bi2 0.641 0.859 0.500
Bi3 0.859 0.359 0.500
Bi4 0.359 0.141 0.500
Se1 0.000 0.000 0.000
Se2 0.500 0.500 0.000

Record 7
Density functional theory data (PBE-GGA) for a geometry-optimized ReRhBr2 structure.

Results
Energy relative to the elements, uncorrected in meV per atom: 1041
Energy in eV per atom: -4.7451
ΔE to the lowest computed polymorph in eV/f.u.: 3.135

a b c (Å): 3.179 3.179 8.744
angles (deg): 90.00 90.00 123.69
Fractional positions:
Re1 0.500 0.500 0.250
Rh1 0.500 0.500 0.750
Br1 0.000 0.000 0.007
Br2 0.000 0.000 0.493

Record 8
Density functional theory data (PBE-GGA) for a geometry-optimized RbInP3 structure.

Results
Energy in eV per atom: -2.1513
Formation enthalpy at 0 K in eV per atom: 1.836
ΔE to the lowest computed polymorph in eV/f.u.: 5.718

a b c (Å): 5.524 5.524 5.524
angles (deg): 90.00 90.00 90.00
Fractional positions:
P1 0.000 0.500 0.000
P2 0.000 0.000 0.500
P3 0.500 0.000 0.000
Rb1 0.000 0.000 0.000
In1 0.500 0.500 0.500

Record 9
Density functional theory data (PBE-GGA) for a geometry-optimized SrCuSb structure.

Results
Energy relative to the elements, uncorrected in meV per atom: -173
Energy in eV per atom: -3.4733

a b c (Å): 5.414 5.414 5.414
angles (deg): 131.33 131.36 71.27
Fractional positions:
Cu1 0.022 0.022 0.000
Sb1 0.310 0.310 0.000
Sr1 0.668 0.668 0.000

Record 10
Density functional theory data (PBE-GGA) for a geometry-optimized Pu6GaSb2 structure.

Results
Energy relative to the elements, uncorrected in meV per atom: -147
Energy in eV per atom: -10.9545

a b c (Å): 3.352 8.800 8.800
angles (deg): 120.00 90.00 90.00
Fractional positions:
Pu1 0.500 0.330 0.330
Pu2 0.500 0.670 0.670
Pu3 0.500 0.000 0.670
Pu4 0.500 0.670 0.000
Pu5 0.500 0.330 0.000
Pu6 0.500 0.000 0.330
Ga1 0.000 0.000 0.000
Sb1 0.000 0.333 0.667
Sb2 0.000 0.667 0.333

Record 11
Density functional theory data (PBE-GGA) for a geometry-optimized HfCdPt6 structure.

Results
Energy in eV per atom: -6.5846
Formation enthalpy at 0 K in eV per atom: -0.695

a b c (Å): 4.038 4.038 8.058
angles (deg): 90.00 90.00 90.00
Fractional positions:
Hf1 0.000 0.000 0.000
Cd1 0.000 0.000 0.500
Pt1 0.500 0.500 0.000
Pt2 0.500 0.500 0.500
Pt3 0.500 0.000 0.244
Pt4 0.500 0.000 0.756
Pt5 0.000 0.500 0.244
Pt6 0.000 0.500 0.756

Record 12
Density functional theory data (PBE-GGA) for a geometry-optimized Ba3Ac3AgO8 structure.

Results
Energy relative to the elements, uncorrected in meV per atom: -2454
Energy in eV per atom: -6.4943

a b c (Å): 7.569 7.568 7.646
angles (deg): 119.66 90.00 120.01
Fractional positions:
Ba1 0.000 0.000 0.000
Ba2 0.000 0.500 0.000
Ba3 0.500 0.500 0.000
Ac1 0.500 0.000 0.500
Ac2 0.500 0.500 0.500
Ac3 0.000 0.500 0.500
Ag1 0.000 0.000 0.500
O1 0.257 0.513 0.270
O2 0.743 0.487 0.730
O3 0.756 0.513 0.283
O4 0.244 0.487 0.717
O5 0.756 0.027 0.283
O6 0.244 0.973 0.717
O7 0.271 0.027 0.283
O8 0.729 0.973 0.717